## VIrCl2O (PBE+U)

Data for a relaxed structure of VIrCl2O.

Results
M_tot ... 3.638 μB per formula unit
VASP energy ... -4.983 eV per atom
DOS(E_F) ... 2.71 states/eV per cell

```
VIrCl2O
1.0
-4.812 1.896 -0.221
-0.691 -2.099 -2.963
-1.645 -3.816 3.087
O Ir Cl V
1 1 2 1
direct
0.000 0.500 0.000 O
0.000 0.000 0.000 Ir
0.500 0.000 0.000 Cl
0.000 0.000 0.500 Cl
0.500 0.500 0.500 V
```